A relaxed structure of SmY2H, computed with PBE.

a b c (Å): 8.908 8.908 8.908
angles (deg): 23.41 23.41 23.41
Fractional coordinates of all 4 atoms:
1 Sm 0.000 0.000 0.000
2 Y 0.219 0.219 0.219
3 Y 0.445 0.445 0.445
4 H 0.834 0.834 0.834


A relaxed structure of Sm3YH8, computed with PBE.

a b c (Å): 5.322 5.322 5.322
angles (deg): 90.00 90.00 90.00
Fractional coordinates of all 12 atoms:
1 Sm 0.000 0.000 0.500
2 Sm 0.000 0.500 0.000
3 Sm 0.500 0.000 0.000
4 Y 0.500 0.500 0.500
5 H 0.255 0.255 0.255
6 H 0.255 0.255 0.745
7 H 0.255 0.745 0.255
8 H 0.255 0.745 0.745
9 H 0.745 0.255 0.255
10 H 0.745 0.255 0.745
11 H 0.745 0.745 0.255
12 H 0.745 0.745 0.745


| no. | total DFT energy (no corrections) (eV/cell) | size of the total moment (μB/atom) |
| --- | --- | --- |
| 1 | -21.705 | 0.000 |
| 2 | -55.750 | 0.000 |